The following is a DFT calculation (GGA-PBE) of SrPr2Pb after structural relaxation.

extended XYZ file:
```
4
Lattice="2.412 1.393 8.494 -2.412 1.393 8.494 0.000 -2.786 8.494" Properties=species:S:1:pos:R:3 pbc="T T T"
Sr 0.000 0.000 0.000
Pr 0.000 0.000 5.793
Pr 0.000 0.000 11.213
Pb 0.000 0.000 21.251
```

Output
The relative energy among the computed polymorphs comes out at 0.206 eV/atom. As for the formation energy from the elements: -0.04 eV/atom. Its calculated total energy is -3.775 eV per atom.